Here is an optimized crystal structure of ReAgCl2 from Alexandria. Energies are from PBE-GGA.

Structure (POSCAR):
```
ReAgCl2
1.0
5.235 -1.457 0.000
5.235 1.457 0.000
-2.713 0.000 6.560
Re Ag Cl
1 1 2
Cartesian
0.000 0.000 0.000 Re
7.722 0.000 0.005 Ag
2.441 0.000 4.650 Cl
5.154 0.000 1.911 Cl
```

Computed properties:
DOS at the Fermi energy = 0.629 states/eV per atom
E_form (uncorrected) = 0.2199 eV/atom
Electronic total energy = -4.528 eV/atom